Compound: TiCrSiRh
Source: Alexandria via LeMat-Bulk
Functional: PBE
Structure: relaxed

Cell lengths 5.960, 5.960, 5.960 Å; angles 90.00, 90.00, 90.00 degrees
Space group F-43m (No. 216)
Symmetry-distinct sites (fractional):
Ti1 0.000 0.000 0.000 x4
Cr1 0.250 0.250 0.750 x4
Si1 0.000 0.000 0.500 x4
Rh1 0.250 0.250 0.250 x4

Summary:
raw formation energy: -562 meV per atom
DOS at the Fermi energy: 1.091 states/eV per atom

***

Compound: Y2CrSiRh
Source: Alexandria via LeMat-Bulk
Functional: PBE
Structure: relaxed

Cell lengths 5.306, 5.306, 4.346 Å; angles 90.00, 90.00, 90.00 degrees
Space group P4/mmm (No. 123)
Symmetry-distinct sites (fractional):
Y1 0.000 0.500 0.000 x2
Cr1 0.000 0.000 0.500 x1
Si1 0.000 0.000 0.000 x1
Rh1 0.500 0.500 0.500 x1

Summary:
raw formation energy: 312 meV per atom
DOS at the Fermi energy: 1.383 states/eV per atom

***

Compound: ZrCrSiRh2
Source: Alexandria via LeMat-Bulk
Functional: PBE
Structure: relaxed

Cell lengths 4.404, 4.404, 4.840 Å; angles 90.00, 90.00, 90.00 degrees
Space group P4/mmm (No. 123)
Symmetry-distinct sites (fractional):
Zr1 0.000 0.000 0.000 x1
Cr1 0.000 0.000 0.500 x1
Si1 0.500 0.500 0.000 x1
Rh1 0.000 0.500 0.500 x2

Summary:
raw formation energy: 697 meV per atom
DOS at the Fermi energy: 1.089 states/eV per atom

***

Repeat the first record exactly.
Compound: TiCrSiRh
Source: Alexandria via LeMat-Bulk
Functional: PBE
Structure: relaxed

Cell lengths 5.960, 5.960, 5.960 Å; angles 90.00, 90.00, 90.00 degrees
Space group F-43m (No. 216)
Symmetry-distinct sites (fractional):
Ti1 0.000 0.000 0.000 x4
Cr1 0.250 0.250 0.750 x4
Si1 0.000 0.000 0.500 x4
Rh1 0.250 0.250 0.250 x4

Summary:
raw formation energy: -562 meV per atom
DOS at the Fermi energy: 1.091 states/eV per atom

***

DOS at the Fermi energy of number 1 (TiCrSiRh)? 1.091 states/eV per atom

***

Which of these has the highest DOS at the Fermi energy? Y2CrSiRh

***

Number 1 is which compound? TiCrSiRh